5
Lattice="-3.343 -2.797 1.191 0.713 -2.442 -3.734 2.955 -2.575 2.248" Properties=species:S:1:pos:R:3 comment="GGA-PBE VCu3P, relaxed" volume_a3_per_cell=92.3 crystal_system=cubic sg="Pm-3m (221)" mass_density_g_cm3=4.91 polymorph_energy_ev_per_atom=1.0185 e_form_kj_per_mol_fu=738 dft_energy_ry_per_atom=-0.2818 pbc="T T T"
P 0.163 -3.907 -0.148
Cu 0.357 -1.221 -1.867
Cu 1.478 -1.287 1.124
Cu -1.671 -1.399 0.595
V 0.000 0.000 0.000

---

5
Lattice="-2.956 2.922 1.101 -1.302 -2.532 3.222 2.838 1.882 2.625" Properties=species:S:1:pos:R:3 comment="GGA-PBE VCu3P, relaxed" volume_a3_per_cell=79.5 crystal_system=cubic sg="Pm-3m (221)" mass_density_g_cm3=5.69 polymorph_energy_ev_per_atom=0.0000 e_form_kj_per_mol_fu=246 dft_energy_ry_per_atom=-0.3567 pbc="T T T"
P 0.000 0.000 0.000
Cu -0.651 -1.266 1.611
Cu 1.419 0.941 1.313
Cu -1.478 1.461 0.550
V -0.710 1.136 3.474

---

6
Lattice="3.979 0.000 0.000 1.990 3.446 0.000 1.990 1.149 7.895" Properties=species:S:1:pos:R:3 comment="GGA-PBE CuPW, relaxed" volume_a3_per_cell=108.3 crystal_system=trigonal sg="R-3m (166)" mass_density_g_cm3=8.54 e_form_kj_per_mol_fu=94 dft_energy_ry_per_atom=-0.5264 pbc="T T T"
W 3.979 2.297 2.545
W 3.979 2.297 5.351
P 1.990 1.149 1.575
P 5.969 3.446 6.321
Cu 5.969 3.446 3.990
Cu 1.990 1.149 3.906

---

4
Lattice="2.680 -0.008 0.000 -0.712 2.583 0.000 0.000 0.000 9.559" Properties=species:S:1:pos:R:3 comment="GGA-PBE CuP2W, relaxed" volume_a3_per_cell=66.1 crystal_system=orthorhombic sg="Cmm2 (35)" mass_density_g_cm3=7.77 e_form_kj_per_mol_fu=140 dft_energy_ry_per_atom=-0.4855 pbc="T T T"
Cu 0.984 1.288 7.093
P 0.000 0.000 8.882
P 0.984 1.288 3.004
W 0.000 0.000 4.919

---

4
Lattice="4.393 0.000 0.000 0.696 4.338 0.000 -2.545 -2.169 2.850" Properties=species:S:1:pos:R:3 comment="GGA-PBE CuP2W, relaxed" volume_a3_per_cell=54.3 crystal_system=tetragonal sg="I4/mmm (139)" mass_density_g_cm3=9.46 e_form_kj_per_mol_fu=104 dft_energy_ry_per_atom=-0.4923 pbc="T T T"
Cu 2.197 0.000 1.425
P 0.000 0.000 0.000
P 2.545 2.169 0.000
W 0.348 2.169 1.425

---

4
Lattice="-1.999 0.810 2.250 0.506 -2.727 1.431 4.673 0.353 4.026" Properties=species:S:1:pos:R:3 comment="GGA-PBE CuP2W, relaxed" volume_a3_per_cell=55.8 crystal_system=monoclinic sg="P2/m (10)" mass_density_g_cm3=9.21 e_form_kj_per_mol_fu=-2 dft_energy_ry_per_atom=-0.5125 pbc="T T T"
Cu 2.884 -1.375 5.217
P 0.538 -2.500 1.378
P 2.557 -1.414 2.781
W 0.295 -0.188 2.489

---

4
Lattice="-1.731 -2.747 -7.761 -2.604 -4.933 -6.298 -4.287 -2.766 -6.690" Properties=species:S:1:pos:R:3 comment="GGA-PBE Cu2PW, relaxed" volume_a3_per_cell=54.9 crystal_system=trigonal sg="R-3m (166)" mass_density_g_cm3=10.34 e_form_kj_per_mol_fu=125 dft_energy_ry_per_atom=-0.4642 pbc="T T T"
Cu -8.567 -10.380 -20.617
Cu -4.366 -5.289 -10.506
P -2.155 -2.612 -5.187
W -6.466 -7.835 -15.562

---

4
Lattice="-6.359 -3.609 -0.408 -5.079 -4.848 2.079 -6.596 -2.200 2.297" Properties=species:S:1:pos:R:3 comment="GGA-PBE CuP2W, relaxed" volume_a3_per_cell=57.6 crystal_system=trigonal sg="R-3m (166)" mass_density_g_cm3=8.92 e_form_kj_per_mol_fu=-1 dft_energy_ry_per_atom=-0.5122 pbc="T T T"
Cu -13.525 -7.992 2.976
P -18.028 -10.652 3.966
P -9.023 -5.331 1.985
W -4.508 -2.664 0.992

---

no.,total magnetization (μB per atom)
1,0.48
2,0.74
3,0.00
4,0.00
5,0.00
6,0.00
7,0.00
8,0.00